Record 1
Below is crystalline SmMn4Al8 at its relaxed geometry, with properties calculated at the PBE-GGA level.

Cell and atoms, written as POSCAR:
```
SmMn4Al8
1.0
-4.414 4.414 2.474
4.414 -4.414 2.474
4.414 4.414 -2.474
Sm Mn Al
1 4 8
direct
0.000 0.000 0.000 Sm
0.000 0.000 0.500 Mn
0.000 0.500 0.000 Mn
0.500 0.000 0.000 Mn
0.500 0.500 0.500 Mn
0.000 0.343 0.343 Al
0.000 0.657 0.657 Al
0.280 0.500 0.780 Al
0.343 0.000 0.343 Al
0.500 0.280 0.780 Al
0.500 0.720 0.220 Al
0.657 0.000 0.657 Al
0.720 0.500 0.220 Al
```

Output
Formation energy from the elements ... -0.3222 eV per atom
Symmetry ... I4/mmm
Fermi-level density of states ... 8.46 states/eV/f.u.
Total DFT energy (no corrections) ... -0.427 Ry per atom

=====

Record 2
Below is crystalline CoRe at its relaxed geometry, with properties calculated at the PBE-GGA level.

Cell and atoms, written as POSCAR:
```
CoRe
1.0
6.416 0.000 0.000
0.000 6.416 0.000
0.000 0.000 6.416
Co Re
6 6
direct
0.000 0.250 0.500 Co
0.000 0.750 0.500 Co
0.250 0.500 0.000 Co
0.500 0.000 0.250 Co
0.500 0.000 0.750 Co
0.750 0.500 0.000 Co
0.000 0.500 0.250 Re
0.000 0.500 0.750 Re
0.250 0.000 0.500 Re
0.500 0.250 0.000 Re
0.500 0.750 0.000 Re
0.750 0.000 0.500 Re
```

Output
Formation energy from the elements ... 1.6437 eV per atom
Symmetry ... Pm-3n
Fermi-level density of states ... 2.83 states/eV/f.u.
Total DFT energy (no corrections) ... -0.598 Ry per atom

=====

Record 3
Below is crystalline Sr2ZrHO at its relaxed geometry, with properties calculated at the PBE-GGA level.

Cell and atoms, written as POSCAR:
```
Sr2ZrHO
1.0
5.482 0.000 0.000
0.000 5.482 0.000
0.000 0.000 3.857
Sr Zr H O
2 1 1 1
direct
0.000 0.500 0.000 Sr
0.500 0.000 0.000 Sr
0.000 0.000 0.500 Zr
0.000 0.000 0.000 H
0.500 0.500 0.500 O
```

Output
Symmetry ... P4/mmm
Fermi-level density of states ... 4.41 states/eV/f.u.
Total DFT energy (no corrections) ... -0.295 Ry per atom

=====

Record 4
Below is crystalline CaErCdGe at its relaxed geometry, with properties calculated at the PBE-GGA level.

Cell and atoms, written as POSCAR:
```
CaErCdGe
1.0
0.000 3.663 3.663
3.663 0.000 3.663
3.663 3.663 0.000
Ca Er Cd Ge
1 1 1 1
direct
0.000 0.000 0.000 Ca
0.500 0.500 0.500 Er
0.250 0.250 0.250 Cd
0.750 0.750 0.750 Ge
```

Output
Formation energy from the elements ... -0.4295 eV per atom
Symmetry ... F-43m
Fermi-level density of states ... 3.32 states/eV/f.u.
Total DFT energy (no corrections) ... -0.254 Ry per atom

=====

Record 5
Below is crystalline Sr2Cu at its relaxed geometry, with properties calculated at the PBE-GGA level.

Cell and atoms, written as POSCAR:
```
Sr2Cu
1.0
-1.937 1.937 7.047
1.937 -1.937 7.047
1.937 1.937 -7.047
Sr Cu
2 1
direct
0.130 0.130 0.000 Sr
0.870 0.870 0.000 Sr
0.500 0.500 0.000 Cu
```

Output
Formation energy from the elements ... 0.0120 eV per atom
Symmetry ... I4/mmm
Fermi-level density of states ... 3.12 states/eV/f.u.
Total DFT energy (no corrections) ... -0.182 Ry per atom

=====

Record 6
Below is crystalline EuSeClO3 at its relaxed geometry, with properties calculated at the PBE-GGA level.

Cell and atoms, written as POSCAR:
```
EuSeClO3
1.0
7.463 0.000 0.000
0.000 7.249 0.000
0.000 0.000 9.075
Eu Se Cl O
4 4 4 12
direct
0.111 0.250 0.044 Eu
0.389 0.750 0.544 Eu
0.611 0.250 0.456 Eu
0.889 0.750 0.956 Eu
0.216 0.250 0.633 Se
0.284 0.750 0.133 Se
0.716 0.250 0.867 Se
0.784 0.750 0.367 Se
0.046 0.750 0.675 Cl
0.454 0.250 0.175 Cl
0.546 0.750 0.825 Cl
0.954 0.250 0.325 Cl
0.143 0.575 0.070 O
0.143 0.925 0.070 O
0.248 0.750 0.318 O
0.252 0.250 0.818 O
0.357 0.075 0.570 O
0.357 0.425 0.570 O
0.643 0.575 0.430 O
0.643 0.925 0.430 O
0.748 0.750 0.182 O
0.752 0.250 0.682 O
0.857 0.075 0.930 O
0.857 0.425 0.930 O
```

Output
Symmetry ... Pnma
Fermi-level density of states ... 10.66 states/eV/f.u.
Total DFT energy (no corrections) ... -0.497 Ry per atom

=====

Record 7
Below is crystalline ThBeRuN at its relaxed geometry, with properties calculated at the PBE-GGA level.

Cell and atoms, written as POSCAR:
```
ThBeRuN
1.0
3.770 0.000 0.000
0.000 3.770 0.000
0.000 0.000 8.150
Th Be Ru N
2 2 2 2
direct
0.250 0.250 0.169 Th
0.750 0.750 0.831 Th
0.250 0.250 0.670 Be
0.750 0.750 0.330 Be
0.250 0.750 0.500 Ru
0.750 0.250 0.500 Ru
0.250 0.250 0.874 N
0.750 0.750 0.126 N
```

Output
Symmetry ... P4/nmm
Fermi-level density of states ... 2.67 states/eV/f.u.
Total DFT energy (no corrections) ... -0.594 Ry per atom

=====

Record 8
Below is crystalline MgSiSnHS at its relaxed geometry, with properties calculated at the PBE-GGA level.

Cell and atoms, written as POSCAR:
```
MgSiSnHS
1.0
3.875 0.000 0.000
0.000 3.877 0.000
-0.001 0.000 6.680
Mg Si Sn H S
1 1 1 1 1
direct
0.000 0.000 0.000 Mg
0.491 0.500 0.616 Si
0.991 0.000 0.559 Sn
0.995 0.000 0.286 H
0.497 0.500 0.956 S
```

Output
Symmetry ... Pm
Fermi-level density of states ... 1.50 states/eV/f.u.
Total DFT energy (no corrections) ... -0.286 Ry per atom

=====

Record 9
Below is crystalline ErZr2Tl3Te6 at its relaxed geometry, with properties calculated at the PBE-GGA level.

Cell and atoms, written as POSCAR:
```
ErZr2Tl3Te6
1.0
3.630 -6.290 0.000
3.630 6.290 0.000
-2.421 0.000 8.422
Er Zr Tl Te
1 2 3 6
direct
0.000 0.000 0.000 Er
0.332 0.668 0.000 Zr
0.668 0.332 0.000 Zr
0.162 0.838 0.500 Tl
0.500 0.500 0.500 Tl
0.838 0.162 0.500 Tl
0.071 0.414 0.211 Te
0.274 0.274 0.793 Te
0.414 0.071 0.211 Te
0.586 0.929 0.789 Te
0.726 0.726 0.207 Te
0.929 0.586 0.789 Te
```

Output
Symmetry ... C2/m
Fermi-level density of states ... 6.59 states/eV/f.u.
Total DFT energy (no corrections) ... -0.347 Ry per atom

=====

Record 10
Below is crystalline LiHo2Cd5 at its relaxed geometry, with properties calculated at the PBE-GGA level.

Cell and atoms, written as POSCAR:
```
LiHo2Cd5
1.0
-2.437 2.437 7.752
2.437 -2.437 7.752
2.437 2.437 -7.752
Li Ho Cd
1 2 5
direct
0.000 0.000 0.000 Li
0.256 0.256 0.000 Ho
0.744 0.744 0.000 Ho
0.113 0.613 0.500 Cd
0.387 0.887 0.500 Cd
0.500 0.500 0.000 Cd
0.613 0.113 0.500 Cd
0.887 0.387 0.500 Cd
```

Output
Formation energy from the elements ... -0.2418 eV per atom
Symmetry ... I4/mmm
Fermi-level density of states ... 4.68 states/eV/f.u.
Total DFT energy (no corrections) ... -0.162 Ry per atom

=====

Record 11
Below is crystalline ScCdAs2 at its relaxed geometry, with properties calculated at the PBE-GGA level.

Cell and atoms, written as POSCAR:
```
ScCdAs2
1.0
-1.978 1.978 5.144
1.978 -1.978 5.144
1.978 1.978 -5.144
Sc Cd As
1 1 2
direct
0.000 0.000 0.000 Sc
0.750 0.250 0.500 Cd
0.250 0.750 0.500 As
0.500 0.500 0.000 As
```

Output
Formation energy from the elements ... -0.4419 eV per atom
Symmetry ... I-4m2
Fermi-level density of states ... 2.43 states/eV/f.u.
Total DFT energy (no corrections) ... -0.337 Ry per atom

=====

Record 12
Below is crystalline Cs2VCrRh at its relaxed geometry, with properties calculated at the PBE-GGA level.

Cell and atoms, written as POSCAR:
```
Cs2VCrRh
1.0
6.983 0.000 0.000
0.000 6.983 0.000
0.000 0.000 4.574
Cs V Cr Rh
2 1 1 1
direct
0.000 0.500 0.000 Cs
0.500 0.000 0.000 Cs
0.000 0.000 0.500 V
0.500 0.500 0.500 Cr
0.000 0.000 0.000 Rh
```

Output
Formation energy from the elements ... 1.2331 eV per atom
Symmetry ... P4/mmm
Fermi-level density of states ... 4.86 states/eV/f.u.
Total DFT energy (no corrections) ... -0.318 Ry per atom

=====

Question: Among the records above, which one has the lowest total DFT energy (no corrections)?
Answer: CoRe

=====

Repeat the fourth record exactly.
Below is crystalline CaErCdGe at its relaxed geometry, with properties calculated at the PBE-GGA level.

Cell and atoms, written as POSCAR:
```
CaErCdGe
1.0
0.000 3.663 3.663
3.663 0.000 3.663
3.663 3.663 0.000
Ca Er Cd Ge
1 1 1 1
direct
0.000 0.000 0.000 Ca
0.500 0.500 0.500 Er
0.250 0.250 0.250 Cd
0.750 0.750 0.750 Ge
```

Output
Formation energy from the elements ... -0.4295 eV per atom
Symmetry ... F-43m
Fermi-level density of states ... 3.32 states/eV/f.u.
Total DFT energy (no corrections) ... -0.254 Ry per atom